## CdTe2F (PBE-GGA)

Data for a relaxed CdTe2F crystal.

a b c (Å): 5.8017 6.0042 7.3167
angles (deg): 82.48 77.14 75.57
Last column: nearest neighbours and their distance in Å.
Fractional coordinates of all 8 atoms:
Cd1 0.0000 0.0000 0.0000  2 F 2.20-2.25
Cd2 0.3764 0.3928 0.9418  2 F 2.25-2.32
Te1 0.2352 0.6945 0.2604  1 Te 2.78, 2 Cd 2.80-2.98
Te2 0.3195 0.1029 0.6544  2 Cd 2.88-3.02, 1 Te 2.89
Te3 0.6933 0.7209 0.7592  2 Te 2.77-2.89, 1 Cd 3.01, 1 F 3.08
Te4 0.8552 0.4884 0.4346  1 F 2.77, 2 Te 2.77-2.78
F1 0.6015 0.0654 0.0584  2 Cd 2.20-2.25
F2 0.9810 0.3596 0.0692  2 Cd 2.25-2.32

Formation energy (no corrections) = -0.82 eV per atom
Excess energy over the best structure of this formula in the dataset = 38 meV per atom
Calculated total energy = -3.08 eV/atom

## HoHfZnCd (PBE-GGA)

Data for a relaxed HoHfZnCd crystal.

a b c (Å): 4.9793 4.9793 4.9793
angles (deg): 60.00 60.00 60.00
Last column: nearest neighbours and their distance in Å.
Fractional coordinates of all 4 atoms:
Ho1 0.0000 0.0000 0.0000  4 Cd 3.05, 4 Zn 3.05
Hf1 0.5000 0.5000 0.5000  4 Cd 3.05, 4 Zn 3.05
Zn1 0.2500 0.2500 0.2500  4 Hf 3.05, 4 Ho 3.05
Cd1 0.7500 0.7500 0.7500  4 Ho 3.05, 4 Hf 3.05

Fermi-level density of states = 1.266 states/eV/atom
Calculated total energy = -4.27 eV/atom
E_form = -0.37 eV/f.u.

## KNpTa2O8 (PBE-GGA)

Data for a relaxed KNpTa2O8 crystal.

a b c (Å): 5.5584 5.5584 7.6399
angles (deg): 103.70 103.70 71.42
Last column: nearest neighbours and their distance in Å.
Fractional coordinates of all 12 atoms:
K1 0.0000 0.0000 0.0000  4 O 2.75
Np1 0.0000 0.0000 0.5000  6 O 2.00-2.23
Ta1 0.4405 0.4405 0.7873  5 O 1.88-2.07
Ta2 0.5595 0.5595 0.2127  5 O 1.88-2.07
O1 0.2302 0.2302 0.6081  1 Ta 1.99, 1 Np 2.00
O2 0.2338 0.7463 0.7027  1 Ta 1.88
O3 0.2537 0.7662 0.2973  1 Ta 1.88
O4 0.3594 0.3594 0.9933  2 Ta 1.92-2.07
O5 0.6406 0.6406 0.0067  2 Ta 1.92-2.07
O6 0.7463 0.2338 0.7027  1 Ta 1.88
O7 0.7662 0.2537 0.2973  1 Ta 1.88
O8 0.7698 0.7698 0.3919  1 Ta 1.99, 1 Np 2.00

Formation energy (no corrections) = -2.71 eV per atom
Fermi-level density of states = 0.398 states/eV/atom
Calculated total energy = -9.16 eV/atom

## Pm2PrNd (PBE-GGA)

Data for a relaxed Pm2PrNd crystal.

a b c (Å): 7.3378 7.3378 6.3699
angles (deg): 106.82 106.82 60.03
Last column: nearest neighbours and their distance in Å.
Fractional coordinates of all 8 atoms:
Pm1 0.1250 0.3752 0.2503  3 Pr 3.67, 3 Nd 3.67, 6 Pm 3.67-3.68
Pm2 0.3752 0.1250 0.7503  3 Pr 3.67, 3 Nd 3.67, 6 Pm 3.67-3.68
Pm3 0.6248 0.8750 0.2497  3 Pr 3.67, 3 Nd 3.67, 6 Pm 3.67-3.68
Pm4 0.8750 0.6248 0.7497  3 Pr 3.67, 3 Nd 3.67, 6 Pm 3.67-3.68
Pr1 0.1253 0.8747 0.2500  4 Nd 3.67-3.68, 6 Pm 3.67, 2 Pr 3.68
Pr2 0.8747 0.1253 0.7500  4 Nd 3.67-3.68, 6 Pm 3.67, 2 Pr 3.68
Nd1 0.3753 0.6247 0.7500  4 Pr 3.67-3.68, 6 Pm 3.67, 2 Nd 3.67
Nd2 0.6247 0.3753 0.2500  4 Pr 3.67-3.68, 6 Pm 3.67, 2 Nd 3.67

Excess energy over the best structure of this formula in the dataset = 0 meV per atom
Fermi-level density of states = 1.111 states/eV/atom
Calculated total energy = -4.75 eV/atom
E_form = 0.03 eV/f.u.

## BeMoPd3 (PBE-GGA)

Data for a relaxed BeMoPd3 crystal.

a b c (Å): 4.2347 4.2347 4.2347
angles (deg): 90.00 90.00 90.00
Last column: nearest neighbours and their distance in Å.
Fractional coordinates of all 5 atoms:
Be1 0.0000 0.0000 0.0000  6 Pd 2.12
Mo1 0.5000 0.5000 0.5000  12 Pd 2.99
Pd1 0.0000 0.0000 0.5000  2 Be 2.12
Pd2 0.0000 0.5000 0.0000  2 Be 2.12
Pd3 0.5000 0.0000 0.0000  2 Be 2.12

Excess energy over the best structure of this formula in the dataset = 0 meV per atom
Fermi-level density of states = 0.339 states/eV/atom
Calculated total energy = -5.77 eV/atom
E_form = 1.31 eV/f.u.

## K2Ga4Sn3Bi (PBE-GGA)

Data for a relaxed K2Ga4Sn3Bi crystal.

a b c (Å): 5.0681 5.0681 11.1396
angles (deg): 90.00 90.00 90.00
Last column: nearest neighbours and their distance in Å.
Fractional coordinates of all 10 atoms:
K1 0.0000 0.5000 0.2403  8 Ga 3.69-3.85, 7 Sn 3.82-4.02, 2 Bi 3.85
K2 0.5000 0.0000 0.7597  8 Ga 3.69-3.85, 7 Sn 3.82-4.02, 2 Bi 3.85
Ga1 0.0000 0.0000 0.0000  4 Sn 2.87
Ga2 0.0000 0.5000 0.6337  3 Sn 2.74-2.94, 2 Bi 2.94
Ga3 0.5000 0.0000 0.3663  3 Sn 2.74-2.94, 2 Bi 2.94
Ga4 0.5000 0.5000 0.0000  4 Sn 2.87
Sn1 0.0000 0.5000 0.8796  5 Ga 2.74-2.87
Sn2 0.5000 0.0000 0.1204  5 Ga 2.74-2.87
Sn3 0.5000 0.5000 0.5000  4 Ga 2.94
Bi1 0.0000 0.0000 0.5000  4 Ga 2.94

Fermi-level density of states = 0.294 states/eV/atom
Calculated total energy = -3.17 eV/atom
E_form = -1.55 eV/f.u.

## Ti6CuO (PBE-GGA)

Data for a relaxed Ti6CuO crystal.

a b c (Å): 4.6552 5.2360 5.3872
angles (deg): 81.17 66.99 89.96
Last column: nearest neighbours and their distance in Å.
Fractional coordinates of all 8 atoms:
Ti1 0.0664 0.2893 0.3512  1 O 2.17
Ti2 0.2326 0.8316 0.0252  1 O 2.10
Ti3 0.4094 0.3784 0.7473  1 O 2.03
Ti4 0.5906 0.6216 0.2527  1 O 2.03
Ti5 0.7674 0.1684 0.9748  1 O 2.10
Ti6 0.9336 0.7107 0.6488  1 O 2.17
Cu1 0.5000 0.0000 0.5000  4 Ti 2.50-2.61
O1 0.0000 0.5000 0.0000  6 Ti 2.03-2.17

Formation energy (no corrections) = -0.66 eV per atom
Fermi-level density of states = 1.146 states/eV/atom
Calculated total energy = -7.71 eV/atom

## BaSr3Cd8 (PBE-GGA)

Data for a relaxed BaSr3Cd8 crystal.

a b c (Å): 6.3437 6.3437 9.9776
angles (deg): 90.00 90.00 120.00
Last column: nearest neighbours and their distance in Å.
Fractional coordinates of all 12 atoms:
Ba1 0.0000 0.0000 0.0000  12 Cd 3.61-3.71, 4 Sr 3.85
Sr1 0.0000 0.0000 0.3861  12 Cd 3.52-3.71, 3 Sr 3.83, 1 Ba 3.85
Sr2 0.6667 0.3333 0.4996  12 Cd 3.55-3.71, 4 Sr 3.82-3.83
Sr3 0.6667 0.3333 0.8822  12 Cd 3.59-3.72, 1 Sr 3.82, 3 Ba 3.85
Cd1 0.1656 0.3312 0.6878  6 Cd 3.09-3.19
Cd2 0.1656 0.8344 0.6878  6 Cd 3.09-3.19
Cd3 0.3333 0.6667 0.4398  6 Cd 3.08-3.09
Cd4 0.3333 0.6667 0.9404  6 Cd 3.12-3.13
Cd5 0.5020 0.0039 0.1934  6 Cd 3.08-3.21
Cd6 0.5020 0.4980 0.1934  6 Cd 3.08-3.21
Cd7 0.6688 0.8344 0.6878  6 Cd 3.09-3.19
Cd8 0.9961 0.4980 0.1934  6 Cd 3.08-3.21

Fermi-level density of states = 0.805 states/eV/atom
Calculated total energy = -1.50 eV/atom
E_form = -3.69 eV/f.u.

## SbRuAu (PBE-GGA)

Data for a relaxed SbRuAu crystal.

a b c (Å): 4.4264 4.4264 4.4264
angles (deg): 60.00 60.00 60.00
Last column: nearest neighbours and their distance in Å.
Fractional coordinates of all 3 atoms:
Sb1 0.0000 0.0000 0.0000  4 Ru 2.71
Ru1 0.7500 0.7500 0.7500  4 Sb 2.71, 4 Au 2.71
Au1 0.5000 0.5000 0.5000  4 Ru 2.71

Formation energy (no corrections) = 0.13 eV per atom
Excess energy over the best structure of this formula in the dataset = 0 meV per atom
Fermi-level density of states = 0.520 states/eV/atom
Calculated total energy = -5.43 eV/atom

Which formula does entry 6 have?
K2Ga4Sn3Bi

What is the calculated total energy in the fourth record?
-4.75 eV/atom

Which value of calculated total energy does entry 1 give?
-3.08 eV/atom